# Cs3Pr3VO8 | Alexandria via LeMat-Bulk | PBE+U | optimized geometry
# E_tot, eV per atom: -6.6187
# Magnetic moment, μB per formula unit: 1.00
data_Cs3Pr3VO8
_symmetry_space_group_name_H-M 'C 1 2/m 1'
_symmetry_Int_Tables_number 12
_cell_length_a 12.3010
_cell_length_b 7.1599
_cell_length_c 8.1078
_cell_angle_alpha 90.00
_cell_angle_beta 120.64
_cell_angle_gamma 90.00
loop_
_symmetry_equiv_pos_as_xyz
'x,y,z'
'-x,-y,-z'
'-x,y,-z'
'x,-y,z'
'x+1/2,y+1/2,z'
'-x+1/2,-y+1/2,-z'
'-x+1/2,y+1/2,-z'
'x+1/2,-y+1/2,z'
loop_
_atom_site_label
_atom_site_type_symbol
_atom_site_fract_x
_atom_site_fract_y
_atom_site_fract_z
Cs1 Cs 0.0000 0.0000 0.0000
Cs2 Cs 0.2500 0.2500 0.0000
Pr1 Pr 0.0000 0.5000 0.5000
Pr2 Pr 0.2500 0.2500 0.5000
V1 V 0.0000 0.0000 0.5000
O1 O 0.0216 0.2193 0.3454
O2 O 0.1892 0.0000 0.6496
O3 O 0.2247 0.5000 0.6702

---

# CsPrV2O8 | Alexandria via LeMat-Bulk | PBE+U | optimized geometry
# E_tot, eV per atom: -6.9538
# Magnetic moment, μB per formula unit: 2.02
data_CsPrV2O8
_symmetry_space_group_name_H-M 'P -3'
_symmetry_Int_Tables_number 147
_cell_length_a 6.0771
_cell_length_b 6.0771
_cell_length_c 8.6371
_cell_angle_alpha 90.00
_cell_angle_beta 90.00
_cell_angle_gamma 120.00
loop_
_symmetry_equiv_pos_as_xyz
'x,y,z'
'-x,-y,-z'
'-y,x-y,z'
'y,-x+y,-z'
'-x+y,-x,z'
'x-y,x,-z'
loop_
_atom_site_label
_atom_site_type_symbol
_atom_site_fract_x
_atom_site_fract_y
_atom_site_fract_z
Cs1 Cs 0.0000 0.0000 0.0000
Pr1 Pr 0.0000 0.0000 0.5000
V1 V 0.3333 0.6667 0.7368
O1 O 0.1755 0.3528 0.6719
O2 O 0.3333 0.6667 0.9357

---

# CsPrVO4 | Alexandria via LeMat-Bulk | PBE+U | optimized geometry
# E_tot, eV per atom: -7.0971
# Magnetic moment, μB per formula unit: 1.00
data_CsPrVO4
_symmetry_space_group_name_H-M 'P 1 21/m 1'
_symmetry_Int_Tables_number 11
_cell_length_a 6.1861
_cell_length_b 6.1112
_cell_length_c 8.0888
_cell_angle_alpha 90.00
_cell_angle_beta 107.09
_cell_angle_gamma 90.00
loop_
_symmetry_equiv_pos_as_xyz
'x,y,z'
'-x,-y,-z'
'-x,y+1/2,-z'
'x,-y+1/2,z'
loop_
_atom_site_label
_atom_site_type_symbol
_atom_site_fract_x
_atom_site_fract_y
_atom_site_fract_z
Cs1 Cs 0.2160 0.2500 0.4344
Pr1 Pr 0.3087 0.2500 0.9556
V1 V 0.2240 0.7500 0.1465
O1 O 0.0408 0.7500 0.9357
O2 O 0.0535 0.7500 0.2901
O3 O 0.4434 0.5274 0.1637

---

# CsPrW2O8 | Alexandria via LeMat-Bulk | PBE+U | optimized geometry
# E_tot, eV per atom: -7.3643
# Magnetic moment, μB per formula unit: 0.00
data_CsPrW2O8
_symmetry_space_group_name_H-M 'C 1 2/c 1'
_symmetry_Int_Tables_number 15
_cell_length_a 11.1324
_cell_length_b 11.0850
_cell_length_c 7.6455
_cell_angle_alpha 90.00
_cell_angle_beta 129.96
_cell_angle_gamma 90.00
loop_
_symmetry_equiv_pos_as_xyz
'x,y,z'
'-x,-y,-z'
'-x,y,-z+1/2'
'x,-y,z+1/2'
'x+1/2,y+1/2,z'
'-x+1/2,-y+1/2,-z'
'-x+1/2,y+1/2,-z+1/2'
'x+1/2,-y+1/2,z+1/2'
loop_
_atom_site_label
_atom_site_type_symbol
_atom_site_fract_x
_atom_site_fract_y
_atom_site_fract_z
Cs1 Cs 0.0000 0.2001 0.2500
Pr1 Pr 0.0000 0.2243 0.7500
W1 W 0.1902 0.4946 0.7162
O1 O 0.0192 0.3941 0.9698
O2 O 0.1411 0.0833 0.7011
O3 O 0.1838 0.4407 0.4350
O4 O 0.2221 0.1528 0.1366

---

# Cs2PrWO6 | Alexandria via LeMat-Bulk | PBE+U | optimized geometry
# E_tot, eV per atom: -6.3730
# Magnetic moment, μB per formula unit: 1.04
data_Cs2PrWO6
_symmetry_space_group_name_H-M 'P -3 m 1'
_symmetry_Int_Tables_number 164
_symmetry_space_group_name_Hall '-P 3 2"'
_cell_length_a 6.9056
_cell_length_b 6.9056
_cell_length_c 6.1689
_cell_angle_alpha 90.00
_cell_angle_beta 90.00
_cell_angle_gamma 120.00
loop_
_atom_site_label
_atom_site_type_symbol
_atom_site_fract_x
_atom_site_fract_y
_atom_site_fract_z
Cs1 Cs 0.3333 0.6667 0.1004
Pr1 Pr 0.0000 0.0000 0.5000
W1 W 0.0000 0.0000 0.0000
O1 O 0.1289 0.2578 0.8034